# HoAsPb (PBE, relaxed)
# **Raw total energy**: -4.724 eV/atom
data_HoAsPb
_chemical_formula_sum 'Ho4 As4 Pb4'
_cell_length_a 12.172
_cell_length_b 4.148
_cell_length_c 6.638
_cell_angle_alpha 90.00
_cell_angle_beta 90.91
_cell_angle_gamma 90.00
_symmetry_space_group_name_H-M 'C 1 2/m 1'
_symmetry_Int_Tables_number 12
loop_
_symmetry_equiv_pos_as_xyz
'x,y,z'
'-x,-y,-z'
'-x,y,-z'
'x,-y,z'
'x+1/2,y+1/2,z'
'-x+1/2,-y+1/2,-z'
'-x+1/2,y+1/2,-z'
'x+1/2,-y+1/2,z'
loop_
_atom_site_label
_atom_site_fract_x
_atom_site_fract_y
_atom_site_fract_z
Ho1 0.205 0.000 0.250
As1 0.109 0.500 0.477
Pb1 0.077 0.000 0.806